The following is a PBE calculation of a geometry-optimized MgHg2Pt structure, from Alexandria.

Calculated values
SG: I-42d (122)
density of states at the Fermi level: 0.37 states/eV/atom
E: -16.56 eV per cell
M_tot: 0.00 μB per cell

Cell: 7.921 7.921 6.260 Å, 50.75 50.75 90.00°
Fractional positions:
Hg1 0.375 0.351 0.750
Hg2 0.101 0.625 0.250
Hg3 0.875 0.899 0.750
Hg4 0.649 0.125 0.250
Mg1 0.500 0.500 0.000
Mg2 0.250 0.750 0.500
Pt1 0.750 0.250 0.500
Pt2 0.000 0.000 0.000